Ti4ZnBi: relaxed, PBE-GGA.

Results
Energy relative to the lowest polymorph listed for this composition   0.000 eV per atom
Mass density   7.2 g/cm3

Cell: 4.8059 9.4038 4.7718 Å, 90.00 90.00 90.00°
Space group Cmmm (No. 65)
Unique sites:
Ti: 0.0000 0.1694 0.0000 x4
Ti: 0.0000 0.3251 0.5000 x4
Zn: 0.0000 0.0000 0.5000 x2
Bi: 0.0000 0.5000 0.0000 x2

---

Ti2Zn2Bi: relaxed, PBE-GGA.

Results
Energy relative to the lowest polymorph listed for this composition   0.143 eV per atom
Mass density   7.2 g/cm3

Cell: 4.1588 4.1588 11.6036 Å, 90.00 90.00 90.00°
Space group I4/mmm (No. 139)
Unique sites:
Ti: 0.0000 0.5000 0.2500 x4
Zn: 0.0000 0.0000 0.1055 x4
Bi: 0.0000 0.0000 0.5000 x2

---

Ti7Zn2Bi2: relaxed, PBE-GGA.

Results
Mass density   7.1 g/cm3

Cell: 9.4004 9.3132 5.2116 Å, 90.00 115.24 90.00°
Space group C2/m (No. 12)
Unique sites:
Ti: 0.0000 0.0000 0.0000 x2
Ti: 0.0968 0.5000 0.8360 x4
Ti: 0.1660 0.2482 0.1575 x8
Zn: 0.2369 0.5000 0.4644 x4
Bi: 0.0000 0.2104 0.5000 x4

---

Ti2Zn2Bi: relaxed, PBE-GGA.

Results
Energy relative to the lowest polymorph listed for this composition   0.021 eV per atom
Mass density   7.4 g/cm3

Cell: 7.1128 7.1128 3.8591 Å, 90.00 90.00 90.00°
Space group P4/mbm (No. 127)
Unique sites:
Ti: 0.1441 0.3559 0.0000 x4
Zn: 0.1436 0.6436 0.5000 x4
Bi: 0.0000 0.0000 0.0000 x2

---

TiZnBi2: relaxed, PBE-GGA.

Results
Mass density   8.3 g/cm3

Cell: 3.3123 3.3123 33.6211 Å, 90.00 90.00 120.00°
Space group R-3m (No. 166, hexagonal axes)
Unique sites:
Ti: 0.0000 0.0000 0.0000 x3
Zn: 0.0000 0.0000 0.5000 x3
Bi: 0.0000 0.0000 0.4030 x6

---

TiZn2Bi: relaxed, PBE-GGA.

Results
Mass density   8.5 g/cm3

Cell: 4.1761 4.1761 4.3394 Å, 90.00 90.00 90.00°
Space group P4/mmm (No. 123)
Unique sites:
Ti: 0.0000 0.0000 0.0000 x1
Zn: 0.0000 0.5000 0.5000 x2
Bi: 0.5000 0.5000 0.0000 x1

---

| no. | total energy (eV/atom) | E_form (meV/atom) |
| --- | --- | --- |
| 1 | -6.22 | -97 |
| 2 | -4.23 | 217 |
| 3 | -5.90 | 57 |
| 4 | -4.35 | 95 |
| 5 | -4.07 | 162 |
| 6 | -3.51 | 67 |